Record 1
! PmZnGeAu GGA-PBE optimized geometry; values from VASP
&SYSTEM
  ibrav = 0, nat = 4, ntyp = 4
/
ATOMIC_SPECIES
Pm 145.00 Pm.upf
Zn 65.41 Zn.upf
Ge 72.64 Ge.upf
Au 196.97 Au.upf
CELL_PARAMETERS angstrom
0.0000 3.4742 3.4742
3.4742 0.0000 3.4742
3.4742 3.4742 0.0000
ATOMIC_POSITIONS crystal
Pm 0.0000 0.0000 0.0000
Zn 0.5000 0.5000 0.5000
Ge 0.2500 0.2500 0.2500
Au 0.7500 0.7500 0.7500
! Density of states at the Fermi level, states/eV/f.u.: 1.976
! Energy of formation, eV per atom: -0.444
! Magnetic moment, μB/cell: 0.00
! E, eV/cell: -15.70



Record 2
! Dy4TlCu GGA-PBE optimized geometry; values from VASP
&SYSTEM
  ibrav = 0, nat = 12, ntyp = 3
/
ATOMIC_SPECIES
Dy 162.50 Dy.upf
Tl 204.38 Tl.upf
Cu 63.55 Cu.upf
CELL_PARAMETERS angstrom
5.3804 0.0000 0.0000
0.0000 7.0584 0.0000
-1.4170 0.0000 8.5110
ATOMIC_POSITIONS crystal
Dy 0.1438 0.2500 0.0506
Dy 0.2123 0.7500 0.3714
Dy 0.3222 0.5139 0.7490
Dy 0.3222 0.9861 0.7490
Dy 0.6778 0.0139 0.2510
Dy 0.6778 0.4861 0.2510
Dy 0.7877 0.2500 0.6286
Dy 0.8562 0.7500 0.9494
Tl 0.2299 0.2500 0.4203
Tl 0.7701 0.7500 0.5797
Cu 0.3645 0.7500 0.0507
Cu 0.6355 0.2500 0.9493
! Density of states at the Fermi level, states/eV/f.u.: 5.884
! Energy of formation, eV per atom: -0.172
! Magnetic moment, μB/cell: 0.00
! Energy relative to the lowest polymorph listed for this composition, eV/atom: 0.000
! E, eV/cell: -51.80



Record 3
! Te2PtW GGA-PBE optimized geometry; values from VASP
&SYSTEM
  ibrav = 0, nat = 4, ntyp = 3
/
ATOMIC_SPECIES
Te 127.60 Te.upf
Pt 195.08 Pt.upf
W 183.84 W.upf
CELL_PARAMETERS angstrom
-1.9681 1.9762 6.9026
1.9681 -1.9762 6.9026
1.9681 1.9762 -6.9026
ATOMIC_POSITIONS crystal
Te 0.1414 0.1414 0.0000
Te 0.8586 0.8586 0.0000
Pt 0.0000 0.5000 0.5000
W 0.5000 0.0000 0.5000
! Density of states at the Fermi level, states/eV/f.u.: 4.155
! Formation energy without anion corrections, eV/atom: 0.27
! Magnetic moment, μB/cell: 0.98
! Energy relative to the lowest polymorph listed for this composition, eV/atom: 0.218
! E, eV/cell: -24.20



Record 4
! Cd2ReW GGA-PBE optimized geometry; values from VASP
&SYSTEM
  ibrav = 0, nat = 4, ntyp = 3
/
ATOMIC_SPECIES
Cd 112.41 Cd.upf
Re 186.21 Re.upf
W 183.84 W.upf
CELL_PARAMETERS angstrom
2.7527 -4.8586 0.0000
2.7527 4.8586 0.0000
-0.8294 0.0000 2.6235
ATOMIC_POSITIONS crystal
Cd 0.0000 0.5000 0.0000
Cd 0.5000 0.0000 0.0000
Re 0.0000 0.0000 0.5000
W 0.5000 0.5000 0.5000
! Density of states at the Fermi level, states/eV/f.u.: 2.242
! Energy of formation, eV per atom: 0.667
! Magnetic moment, μB/cell: 0.00
! Energy relative to the lowest polymorph listed for this composition, eV/atom: 0.300
! E, eV/cell: -24.56



Record 5
! NaSmPuO6 GGA-PBE optimized geometry; values from VASP
&SYSTEM
  ibrav = 0, nat = 18, ntyp = 4
/
ATOMIC_SPECIES
Na 22.99 Na.upf
Sm 150.36 Sm.upf
Pu 244.00 Pu.upf
O 16.00 O.upf
CELL_PARAMETERS angstrom
5.6574 0.0000 0.0000
-2.8287 4.8994 0.0000
0.0000 0.0000 9.7451
ATOMIC_POSITIONS crystal
Na 0.3333 0.6667 0.2500
Na 0.6667 0.3333 0.7500
Sm 0.0000 0.0000 0.0000
Sm 0.0000 0.0000 0.5000
Pu 0.3333 0.6667 0.7500
Pu 0.6667 0.3333 0.2500
O 0.0538 0.3705 0.6351
O 0.0538 0.6834 0.8649
O 0.3166 0.3705 0.8649
O 0.3166 0.9462 0.6351
O 0.3705 0.0538 0.1351
O 0.3705 0.3166 0.3649
O 0.6295 0.6834 0.6351
O 0.6295 0.9462 0.8649
O 0.6834 0.0538 0.3649
O 0.6834 0.6295 0.1351
O 0.9462 0.3166 0.1351
O 0.9462 0.6295 0.3649
! Formation energy without anion corrections, eV/atom: -2.36
! Magnetic moment, μB/cell: 0.00
! E, eV/cell: -142.75



Copy entry 1 word for word.
! PmZnGeAu GGA-PBE optimized geometry; values from VASP
&SYSTEM
  ibrav = 0, nat = 4, ntyp = 4
/
ATOMIC_SPECIES
Pm 145.00 Pm.upf
Zn 65.41 Zn.upf
Ge 72.64 Ge.upf
Au 196.97 Au.upf
CELL_PARAMETERS angstrom
0.0000 3.4742 3.4742
3.4742 0.0000 3.4742
3.4742 3.4742 0.0000
ATOMIC_POSITIONS crystal
Pm 0.0000 0.0000 0.0000
Zn 0.5000 0.5000 0.5000
Ge 0.2500 0.2500 0.2500
Au 0.7500 0.7500 0.7500
! Density of states at the Fermi level, states/eV/f.u.: 1.976
! Energy of formation, eV per atom: -0.444
! Magnetic moment, μB/cell: 0.00
! E, eV/cell: -15.70